No. 1
DFT (GGA-PBE) results for a relaxed V2SbAsSe crystal.

Lattice parameters (Å, degrees): 4.808 4.808 5.120 90.00 90.00 90.00
Space group P4/mmm (No. 123)
Unique sites:
V 0.000 0.500 0.000
Sb 0.000 0.000 0.500
As 0.500 0.500 0.000
Se 0.500 0.500 0.500

calculated volume = 118.3 Å³/cell
magnetic moment = 5.59 μB/f.u.
DFT total energy = -5.441 eV/atom
crystal system = tetragonal

=====

No. 2
DFT (GGA-PBE) results for a relaxed Pm4GeHSe2 crystal.

Lattice parameters (Å, degrees): 8.256 11.813 8.370 90.00 90.00 90.00
Space group Fmm2 (No. 42)
Unique sites:
Pm 0.000 0.244 0.000
Pm 0.230 0.000 0.266
Ge 0.000 0.000 0.995
H 0.000 0.000 0.446
Se 0.250 0.250 0.251

calculated volume = 816.4 Å³/cell
magnetic moment = 0.00 μB/f.u.
DFT total energy = -5.445 eV/atom
crystal system = orthorhombic

=====

No. 3
DFT (GGA-PBE) results for a relaxed LaBiAs2Se crystal.

Lattice parameters (Å, degrees): 5.680 5.680 5.575 90.00 90.00 90.00
Space group P4/mmm (No. 123)
Unique sites:
La 0.000 0.000 0.000
Bi 0.500 0.500 0.500
As 0.000 0.500 0.000
Se 0.000 0.000 0.500

calculated volume = 179.9 Å³/cell
magnetic moment = 0.00 μB/f.u.
offset from the most stable computed form = 0.344 eV per atom
crystal system = tetragonal

=====

No. 4
DFT (GGA-PBE) results for a relaxed KRe2F crystal.

Lattice parameters (Å, degrees): 4.578 4.578 19.264 90.00 90.00 90.00
Space group I-42d (No. 122)
Unique sites:
K 0.000 0.000 0.000
Re 0.018 0.750 0.625
F 0.000 0.000 0.500

calculated volume = 403.7 Å³/cell
magnetic moment = 0.00 μB/f.u.
offset from the most stable computed form = 0.000 eV per atom
crystal system = tetragonal